(1)
Ta14Ir | the Alexandria database | PBEsol | optimized geometry; theoretical density = 17.0 g cm⁻³; calculated volume = 531.16 Å³/cell; total magnetization = 0.000 μB per atom; SG = P4_2/mnm, No. 136; final energy = -12.4775 eV/atom; formation energy from the elements = -0.11 eV/atom
1.0
5.2766 0.0000 0.0000
0.0000 10.0331 0.0000
0.0000 0.0000 10.0331
Ta Ir
28 2
direct
0.7528 0.6816 0.6816 Ta
0.0000 0.7425 0.9337 Ta
0.2472 0.3184 0.3184 Ta
0.2528 0.1816 0.8184 Ta
0.5000 0.1016 0.1016 Ta
0.5000 0.8984 0.8984 Ta
0.5000 0.7575 0.4337 Ta
0.5000 0.9637 0.6303 Ta
0.5000 0.2424 0.5663 Ta
0.0000 0.9337 0.7425 Ta
0.5000 0.0363 0.3697 Ta
0.0000 0.1303 0.5363 Ta
0.0000 0.0663 0.2576 Ta
0.2472 0.6816 0.6816 Ta
0.2528 0.8184 0.1816 Ta
0.0000 0.6016 0.3984 Ta
0.0000 0.4637 0.8697 Ta
0.0000 0.2576 0.0663 Ta
0.0000 0.5363 0.1303 Ta
0.5000 0.3697 0.0363 Ta
0.0000 0.3984 0.6016 Ta
0.0000 0.8697 0.4637 Ta
0.5000 0.6303 0.9637 Ta
0.5000 0.5663 0.2424 Ta
0.7472 0.1816 0.8184 Ta
0.7528 0.3184 0.3184 Ta
0.7472 0.8184 0.1816 Ta
0.5000 0.4337 0.7575 Ta
0.5000 0.5000 0.5000 Ir
0.0000 0.0000 0.0000 Ir

(2)
TaIr | the Alexandria database | PBEsol | optimized geometry; theoretical density = 17.3 g cm⁻³; calculated volume = 71.82 Å³/cell; total magnetization = 0.000 μB per atom; SG = P6_3/mmc, No. 194; final energy = -11.4071 eV/atom; formation energy from the elements = -0.22 eV/atom
1.0
3.9239 0.0000 0.0000
-1.9619 3.3982 0.0000
0.0000 0.0000 5.3862
Ir Ta
2 2
direct
0.0000 0.0000 0.5000 Ir
0.0000 0.0000 0.0000 Ir
0.6667 0.3333 0.7500 Ta
0.3333 0.6667 0.2500 Ta

(3)
TaIr | the Alexandria database | PBEsol | optimized geometry; theoretical density = 19.8 g cm⁻³; calculated volume = 62.62 Å³/cell; total magnetization = 0.000 μB per atom; SG = Fd-3m, No. 227; final energy = -11.4258 eV/atom; formation energy from the elements = -0.24 eV/atom
1.0
4.4575 0.0000 0.0000
2.2287 3.8603 0.0000
2.2287 1.2868 3.6395
Ta Ir
2 2
direct
0.2500 0.2500 0.2500 Ta
0.0000 0.0000 0.0000 Ta
0.7500 0.7500 0.7500 Ir
0.5000 0.5000 0.5000 Ir

(4)
Ta8Ir | the Alexandria database | PBEsol | optimized geometry; theoretical density = 17.7 g cm⁻³; calculated volume = 153.87 Å³/cell; total magnetization = 0.000 μB per atom; SG = I4/mmm, No. 139; final energy = -12.4453 eV/atom; formation energy from the elements = -0.20 eV/atom
1.0
-2.9483 0.3295 -1.4477
-3.8969 -4.9934 3.0361
-3.3611 4.5855 4.1248
Ta Ir
8 1
direct
0.6647 0.6706 0.0000 Ta
0.3321 0.6679 0.6679 Ta
0.3353 0.0000 0.3294 Ta
0.0000 0.6679 0.3321 Ta
0.6647 0.0000 0.6706 Ta
0.0000 0.3321 0.6679 Ta
0.3353 0.3294 0.0000 Ta
0.6679 0.3321 0.3321 Ta
0.0000 0.0000 0.0000 Ir

(5)
Ta2Ir3 | the Alexandria database | PBEsol | optimized geometry; theoretical density = 18.1 g cm⁻³; excess energy over the best structure of this formula in the dataset = 0.339 eV per atom; calculated volume = 86.04 Å³/cell; total magnetization = 0.000 μB per atom; SG = P-3m1, No. 164; final energy = -11.1084 eV/atom; formation energy from the elements = -0.19 eV/atom
1.0
4.2888 0.0000 0.0000
-2.1444 3.7142 0.0000
0.0000 0.0000 5.4014
Ta Ir
2 3
direct
0.3333 0.6667 0.8127 Ta
0.6667 0.3333 0.1873 Ta
0.6667 0.3333 0.6592 Ir
0.0000 0.0000 0.0000 Ir
0.3333 0.6667 0.3408 Ir

(6)
Ta3Ir | the Alexandria database | PBEsol | optimized geometry; theoretical density = 17.9 g cm⁻³; calculated volume = 68.33 Å³/cell; total magnetization = 0.000 μB per atom; SG = R-3m, No. 166; final energy = -11.8937 eV/atom; formation energy from the elements = -0.02 eV/atom
1.0
-0.7611 -2.8505 0.1741
1.4334 -1.8017 1.8531
-5.7092 0.4314 7.1921
Ta Ir
3 1
direct
0.7460 0.7460 0.7621 Ta
0.5000 0.5000 0.5000 Ta
0.2540 0.2540 0.2379 Ta
0.0000 0.0000 0.0000 Ir